(1)
This record from Alexandria via LeMat-Bulk describes a geometry-optimized SmAgGe structure. The functional is GGA-PBE.

Calculated values
Formation energy from the elements: -0.212 eV per atom
Total moment: 0.00 μB per cell

abc: 4.0398 4.0398 8.6715
angles: 90.00 90.00 90.00
Space group I4mm (No. 107)
Symmetry-distinct sites (fractional):
Sm  0.0000  0.0000  0.0000
Ag  0.0000  0.0000  0.3399
Ge  0.0000  0.0000  0.6590

---

(2)
This record from Alexandria via LeMat-Bulk describes a geometry-optimized K3SiF7 structure. The functional is GGA-PBE.

Calculated values
Energy above the most stable polymorph in this dataset: 1.2 kJ/mol of atoms
Formation energy from raw total energies: -70.484 kcal/mol of atoms
Total moment: 0.20 μB per cell

abc: 7.7703 7.7083 6.1011
angles: 90.00 91.47 90.00
Space group Cm (No. 8)
Symmetry-distinct sites (fractional):
K  0.0000  0.0000  0.0000
K  0.2508  0.2485  0.5212
Si  0.0108  0.5000  0.0267
F  0.9997  0.0000  0.5484
F  0.1132  0.3424  0.8807
F  0.1782  0.5000  0.2180
F  0.3442  0.0000  0.8349
F  0.4098  0.1580  0.1739

---

(3)
This record from Alexandria via LeMat-Bulk describes a geometry-optimized YbClF structure. The functional is GGA-PBE.

Calculated values
Formation energy from raw total energies: -69.844 kcal/mol of atoms
Total moment: 0.48 μB per cell

abc: 3.9475 3.9475 6.9169
angles: 90.00 90.00 90.00
Space group P4/nmm (No. 129, origin choice 2)
Symmetry-distinct sites (fractional):
Yb  0.2500  0.2500  0.2051
Cl  0.2500  0.2500  0.6427
F  0.2500  0.7500  0.0000

---

(4)
This record from Alexandria via LeMat-Bulk describes a geometry-optimized DyPa2Rh3 structure. The functional is GGA-PBE.

Calculated values
Formation energy from the elements: -0.828 eV per atom
Total moment: 0.00 μB per cell

abc: 5.6276 5.8780 8.4862
angles: 72.80 74.99 77.02
Space group P-1 (No. 2)
Symmetry-distinct sites (fractional):
Dy  0.0469  0.2108  0.2983
Pa  0.2869  0.7662  0.0403
Pa  0.3759  0.2300  0.6261
Rh  0.1498  0.6781  0.3741
Rh  0.2089  0.2984  0.9376
Rh  0.4627  0.7110  0.7191

---

(5)
This record from Alexandria via LeMat-Bulk describes a geometry-optimized Pr2Ge3Pt6 structure. The functional is GGA-PBE.

Calculated values
Formation energy from the elements: -0.831 eV per atom
Total moment: 0.00 μB per cell

abc: 7.5265 7.5265 4.3668
angles: 90.00 90.00 120.00
Space group P-62m (No. 189)
Symmetry-distinct sites (fractional):
Pr  0.3333  0.6667  0.0000
Ge  0.0000  0.6332  0.5000
Pt  0.0000  0.3088  0.5000
Pt  0.0000  0.7900  0.0000

---

(6)
This record from Alexandria via LeMat-Bulk describes a geometry-optimized Er2Nb3Si4 structure. The functional is GGA-PBE.

Calculated values
Formation energy from raw total energies: -19.260 kcal/mol of atoms
Total moment: 0.00 μB per cell

abc: 7.0315 7.0388 6.8765
angles: 90.00 108.84 90.00
Space group P2_1/c (No. 14)
Symmetry-distinct sites (fractional):
Er  0.1883  0.1704  0.0649
Nb  0.2550  0.6773  0.2476
Nb  0.5000  0.0000  0.5000
Si  0.0822  0.5355  0.8663
Si  0.4926  0.1253  0.8715

---

Number 1: VASP energy -4.274 eV/atom. Number 2: VASP energy -5.040 eV/atom. Number 3: VASP energy -4.777 eV/atom. Number 4: VASP energy -8.436 eV/atom. Number 5: VASP energy -6.255 eV/atom. Number 6: VASP energy -7.616 eV/atom.